No. 1
An optimized crystal structure of NbCrCo2C. Source: Alexandria, functional GGA-PBE.

## Properties
N(E_F)   1.35 states/eV per atom
E above lowest polymorph   182.8 meV/atom
Energy relative to the elements   62 kJ/mol of formula units
M_tot   1.91 μB/f.u.
Calculated volume   59.8 Å³/cell
VASP energy   -8.497 eV/atom

a = 3.734 Å, b = 4.287 Å, c = 3.734 Å
α = 90.00°, β = 90.00°, γ = 90.00°
Positions (direct):
Cr  0.500  0.500  0.500
Nb  0.000  0.500  0.000
Co  0.000  0.000  0.500
Co  0.500  0.000  0.000
C  0.000  0.000  0.000

No. 2
An optimized crystal structure of CrCo2NiC. Source: Alexandria, functional GGA-PBE.

## Properties
N(E_F)   1.23 states/eV per atom
Energy relative to the elements   80 kJ/mol of formula units
M_tot   4.86 μB/f.u.
Calculated volume   53.3 Å³/cell
VASP energy   -7.602 eV/atom

a = 3.709 Å, b = 3.876 Å, c = 3.709 Å
α = 90.00°, β = 90.00°, γ = 90.00°
Positions (direct):
Ni  0.500  0.500  0.500
C  0.000  0.000  0.000
Co  0.000  0.000  0.500
Co  0.500  0.000  0.000
Cr  0.000  0.500  0.000

No. 3
An optimized crystal structure of CrCo2PtC. Source: Alexandria, functional GGA-PBE.

## Properties
N(E_F)   1.24 states/eV per atom
Energy relative to the elements   29 kJ/mol of formula units
M_tot   4.67 μB/f.u.
Calculated volume   56.8 Å³/cell
VASP energy   -7.761 eV/atom

a = 3.798 Å, b = 3.798 Å, c = 3.935 Å
α = 90.00°, β = 90.00°, γ = 90.00°
Positions (direct):
Cr  0.000  0.000  0.500
C  0.000  0.000  0.000
Co  0.000  0.500  0.000
Co  0.500  0.000  0.000
Pt  0.500  0.500  0.500

No. 4
An optimized crystal structure of Cr2CoPtC. Source: Alexandria, functional GGA-PBE.

## Properties
N(E_F)   1.14 states/eV per atom
Energy relative to the elements   -1 kJ/mol of formula units
M_tot   3.44 μB/f.u.
Calculated volume   57.4 Å³/cell
VASP energy   -8.326 eV/atom

a = 3.897 Å, b = 3.897 Å, c = 3.776 Å
α = 90.00°, β = 90.00°, γ = 90.00°
Positions (direct):
Cr  0.000  0.500  0.000
Cr  0.500  0.000  0.000
C  0.000  0.000  0.000
Co  0.000  0.000  0.500
Pt  0.500  0.500  0.500

No. 5
An optimized crystal structure of CrCo2RhC. Source: Alexandria, functional GGA-PBE.

## Properties
N(E_F)   1.26 states/eV per atom
Energy relative to the elements   73 kJ/mol of formula units
M_tot   3.67 μB/f.u.
Calculated volume   55.1 Å³/cell
VASP energy   -7.930 eV/atom

a = 3.751 Å, b = 3.751 Å, c = 3.914 Å
α = 90.00°, β = 90.00°, γ = 90.00°
Positions (direct):
Co  0.000  0.500  0.000
Co  0.500  0.000  0.000
C  0.000  0.000  0.000
Rh  0.500  0.500  0.500
Cr  0.000  0.000  0.500

No. 6
An optimized crystal structure of Cr2CoRhC. Source: Alexandria, functional GGA-PBE.

## Properties
N(E_F)   1.18 states/eV per atom
Energy relative to the elements   38 kJ/mol of formula units
M_tot   2.00 μB/f.u.
Calculated volume   55.7 Å³/cell
VASP energy   -8.506 eV/atom

a = 3.860 Å, b = 3.860 Å, c = 3.735 Å
α = 90.00°, β = 90.00°, γ = 90.00°
Positions (direct):
Co  0.000  0.000  0.500
C  0.000  0.000  0.000
Rh  0.500  0.500  0.500
Cr  0.000  0.500  0.000
Cr  0.500  0.000  0.000

No. 7
An optimized crystal structure of ScCrCo2C. Source: Alexandria, functional GGA-PBE.

## Properties
N(E_F)   0.65 states/eV per atom
Energy relative to the elements   -79 kJ/mol of formula units
M_tot   2.82 μB/f.u.
Calculated volume   58.5 Å³/cell
VASP energy   -8.042 eV/atom

a = 3.868 Å, b = 3.868 Å, c = 3.911 Å
α = 90.00°, β = 90.00°, γ = 90.00°
Positions (direct):
Sc  0.500  0.500  0.500
Cr  0.000  0.000  0.500
C  0.000  0.000  0.000
Co  0.000  0.500  0.000
Co  0.500  0.000  0.000

No. 8
An optimized crystal structure of Ta6Cr3Co3C2. Source: Alexandria, functional GGA-PBE.

## Properties
N(E_F)   0.96 states/eV per atom
Energy relative to the elements   -463 kJ/mol of formula units
M_tot   0.01 μB/f.u.
Calculated volume   371.4 Å³/cell
VASP energy   -10.325 eV/atom

a = 8.071 Å, b = 8.071 Å, c = 8.071 Å
α = 120.20°, β = 119.94°, γ = 89.88°
Positions (direct):
Ta  0.572  0.072  0.500
Ta  0.181  0.681  0.500
Ta  0.179  0.069  0.500
Ta  0.569  0.678  0.500
Ta  0.569  0.069  0.891
Ta  0.179  0.678  0.109
Ta  0.930  0.930  0.000
Ta  0.320  0.320  0.000
Ta  0.319  0.931  0.000
Ta  0.930  0.318  0.000
Ta  0.930  0.931  0.612
Ta  0.319  0.318  0.388
Cr  0.754  0.503  0.251
Cr  0.253  0.503  0.749
Cr  0.750  0.503  0.753
Cr  0.750  0.997  0.247
Cr  0.954  0.299  0.655
Cr  0.645  0.299  0.345
Co  0.955  0.300  0.346
Co  0.955  0.609  0.654
Co  0.549  0.700  0.849
Co  0.851  0.700  0.151
Co  0.547  0.702  0.155
Co  0.547  0.392  0.845
C  0.249  0.999  0.250
C  0.749  0.999  0.750
C  0.249  0.999  0.750
C  0.249  0.499  0.250

No. 9
An optimized crystal structure of CrCoTcC2. Source: Alexandria, functional GGA-PBE.

## Properties
N(E_F)   1.08 states/eV per atom
Energy relative to the elements   880 kJ/mol of formula units
M_tot   0.00 μB/f.u.
Calculated volume   60.6 Å³/cell
VASP energy   -7.285 eV/atom

a = 3.527 Å, b = 4.874 Å, c = 3.527 Å
α = 90.00°, β = 90.00°, γ = 90.00°
Positions (direct):
Cr  0.000  0.500  0.000
C  0.000  0.000  0.500
C  0.500  0.000  0.000
Co  0.000  0.000  0.000
Tc  0.500  0.500  0.500

No. 10
An optimized crystal structure of CrCo2WC. Source: Alexandria, functional GGA-PBE.

## Properties
N(E_F)   0.84 states/eV per atom
Energy relative to the elements   87 kJ/mol of formula units
M_tot   0.00 μB/f.u.
Calculated volume   54.5 Å³/cell
VASP energy   -9.022 eV/atom

a = 3.749 Å, b = 3.882 Å, c = 3.749 Å
α = 90.00°, β = 90.00°, γ = 90.00°
Positions (direct):
Cr  0.000  0.500  0.000
C  0.000  0.000  0.000
Co  0.000  0.000  0.500
Co  0.500  0.000  0.000
W  0.500  0.500  0.500

No. 11
An optimized crystal structure of ZnCrCo2C. Source: Alexandria, functional GGA-PBE.

## Properties
N(E_F)   0.78 states/eV per atom
Energy relative to the elements   11 kJ/mol of formula units
M_tot   3.78 μB/f.u.
Calculated volume   55.4 Å³/cell
VASP energy   -6.844 eV/atom

a = 3.779 Å, b = 3.779 Å, c = 3.877 Å
α = 90.00°, β = 90.00°, γ = 90.00°
Positions (direct):
Cr  0.000  0.000  0.500
Zn  0.500  0.500  0.500
Co  0.000  0.500  0.000
Co  0.500  0.000  0.000
C  0.000  0.000  0.000

No. 12
An optimized crystal structure of CsCoC3. Source: Alexandria, functional GGA-PBE.

## Properties
N(E_F)   0.77 states/eV per atom
E above lowest polymorph   0.0 meV/atom
Energy relative to the elements   1160 kJ/mol of formula units
M_tot   3.32 μB/f.u.
Calculated volume   67.0 Å³/cell
VASP energy   -4.722 eV/atom

a = 4.062 Å, b = 4.062 Å, c = 4.062 Å
α = 90.00°, β = 90.00°, γ = 90.00°
Positions (direct):
Cs  0.500  0.500  0.500
Co  0.000  0.000  0.000
C  0.000  0.500  0.000
C  0.000  0.000  0.500
C  0.500  0.000  0.000

No. 13
An optimized crystal structure of CsCo3C. Source: Alexandria, functional GGA-PBE.

## Properties
N(E_F)   1.49 states/eV per atom
E above lowest polymorph   0.0 meV/atom
Energy relative to the elements   554 kJ/mol of formula units
M_tot   1.47 μB/f.u.
Calculated volume   67.0 Å³/cell
VASP energy   -5.131 eV/atom

a = 4.062 Å, b = 4.062 Å, c = 4.062 Å
α = 90.00°, β = 90.00°, γ = 90.00°
Positions (direct):
Cs  0.500  0.500  0.500
C  0.000  0.000  0.000
Co  0.000  0.500  0.000
Co  0.000  0.000  0.500
Co  0.500  0.000  0.000

No. 14
An optimized crystal structure of Cs3CoC. Source: Alexandria, functional GGA-PBE.

## Properties
N(E_F)   0.80 states/eV per atom
Energy relative to the elements   822 kJ/mol of formula units
M_tot   3.83 μB/f.u.
Calculated volume   208.9 Å³/cell
VASP energy   -2.074 eV/atom

a = 5.934 Å, b = 5.934 Å, c = 5.934 Å
α = 90.00°, β = 90.00°, γ = 90.00°
Positions (direct):
Cs  0.000  0.500  0.000
Cs  0.000  0.000  0.500
Cs  0.500  0.000  0.000
C  0.500  0.500  0.500
Co  0.000  0.000  0.000

No. 15
An optimized crystal structure of CsCo4C2. Source: Alexandria, functional GGA-PBE.

## Properties
N(E_F)   0.89 states/eV per atom
Energy relative to the elements   1298 kJ/mol of formula units
M_tot   5.00 μB/f.u.
Calculated volume   116.6 Å³/cell
VASP energy   -4.895 eV/atom

a = 4.772 Å, b = 4.772 Å, c = 6.130 Å
α = 67.09°, β = 67.09°, γ = 90.00°
Positions (direct):
Cs  0.000  0.000  0.000
C  0.564  0.564  0.871
C  0.436  0.436  0.129
Co  0.736  0.736  0.527
Co  0.264  0.264  0.473
Co  0.000  0.500  0.000
Co  0.500  0.000  0.000

No. 16
An optimized crystal structure of CsCoC3. Source: Alexandria, functional GGA-PBE.

## Properties
N(E_F)   1.59 states/eV per atom
E above lowest polymorph   2272.2 meV/atom
Energy relative to the elements   2256 kJ/mol of formula units
M_tot   0.01 μB/f.u.
Calculated volume   88.6 Å³/cell
VASP energy   -2.450 eV/atom

a = 4.458 Å, b = 4.458 Å, c = 4.458 Å
α = 90.00°, β = 90.00°, γ = 90.00°
Positions (direct):
Cs  0.000  0.000  0.000
C  0.000  0.500  0.000
C  0.000  0.000  0.500
C  0.500  0.000  0.000
Co  0.500  0.500  0.500

No. 17
An optimized crystal structure of CsCoC2. Source: Alexandria, functional GGA-PBE.

## Properties
N(E_F)   0.00 states/eV per atom
Energy relative to the elements   316 kJ/mol of formula units
M_tot   0.00 μB/f.u.
Calculated volume   139.8 Å³/cell
VASP energy   -5.784 eV/atom

a = 5.825 Å, b = 5.825 Å, c = 5.827 Å
α = 60.01°, β = 60.01°, γ = 90.00°
Positions (direct):
Cs  0.000  0.000  0.000
Cs  0.750  0.250  0.500
C  0.375  0.125  0.250
C  0.375  0.625  0.250
C  0.375  0.625  0.750
C  0.875  0.625  0.750
Co  0.500  0.500  0.000
Co  0.250  0.750  0.500

No. 18
An optimized crystal structure of CsCo3C. Source: Alexandria, functional GGA-PBE.

## Properties
N(E_F)   1.91 states/eV per atom
E above lowest polymorph   2534.3 meV/atom
Energy relative to the elements   1777 kJ/mol of formula units
M_tot   4.02 μB/f.u.
Calculated volume   105.1 Å³/cell
VASP energy   -2.596 eV/atom

a = 4.719 Å, b = 4.719 Å, c = 4.719 Å
α = 90.00°, β = 90.00°, γ = 90.00°
Positions (direct):
Cs  0.000  0.000  0.000
C  0.500  0.500  0.500
Co  0.000  0.500  0.000
Co  0.000  0.000  0.500
Co  0.500  0.000  0.000

No. 19
An optimized crystal structure of CsCoNi2C. Source: Alexandria, functional GGA-PBE.

## Properties
N(E_F)   1.24 states/eV per atom
Energy relative to the elements   1523 kJ/mol of formula units
M_tot   3.36 μB/f.u.
Calculated volume   103.6 Å³/cell
VASP energy   -2.593 eV/atom

a = 4.781 Å, b = 4.532 Å, c = 4.781 Å
α = 90.00°, β = 90.00°, γ = 90.00°
Positions (direct):
Cs  0.000  0.000  0.000
Ni  0.000  0.000  0.500
Ni  0.500  0.000  0.000
C  0.000  0.500  0.000
Co  0.500  0.500  0.500

No. 20
An optimized crystal structure of CsCo2TcC. Source: Alexandria, functional GGA-PBE.

## Properties
N(E_F)   1.59 states/eV per atom
Energy relative to the elements   737 kJ/mol of formula units
M_tot   3.77 μB/f.u.
Calculated volume   96.6 Å³/cell
VASP energy   -5.404 eV/atom

a = 4.891 Å, b = 4.039 Å, c = 4.891 Å
α = 90.00°, β = 90.00°, γ = 90.00°
Positions (direct):
Cs  0.500  0.500  0.500
C  0.000  0.500  0.000
Co  0.000  0.000  0.500
Co  0.500  0.000  0.000
Tc  0.000  0.000  0.000

No. 21
An optimized crystal structure of CoCuC2. Source: Alexandria, functional GGA-PBE.

## Properties
N(E_F)   0.62 states/eV per atom
E above lowest polymorph   0.0 meV/atom
Energy relative to the elements   417 kJ/mol of formula units
M_tot   0.00 μB/f.u.
Calculated volume   84.6 Å³/cell
VASP energy   -6.331 eV/atom

a = 4.447 Å, b = 4.447 Å, c = 5.309 Å
α = 65.24°, β = 65.24°, γ = 90.00°
Positions (direct):
C  0.591  0.125  0.250
C  0.159  0.625  0.250
C  0.375  0.409  0.750
C  0.875  0.841  0.750
Co  0.500  0.500  0.000
Co  0.250  0.750  0.500
Cu  0.000  0.000  0.000
Cu  0.750  0.250  0.500

No. 22
An optimized crystal structure of CoCu3C. Source: Alexandria, functional GGA-PBE.

## Properties
N(E_F)   0.57 states/eV per atom
E above lowest polymorph   0.0 meV/atom
Energy relative to the elements   285 kJ/mol of formula units
M_tot   1.90 μB/f.u.
Calculated volume   56.4 Å³/cell
VASP energy   -5.133 eV/atom

a = 3.835 Å, b = 3.835 Å, c = 3.835 Å
α = 90.00°, β = 90.00°, γ = 90.00°
Positions (direct):
C  0.000  0.000  0.000
Co  0.500  0.500  0.500
Cu  0.000  0.500  0.000
Cu  0.000  0.000  0.500
Cu  0.500  0.000  0.000

No. 23
An optimized crystal structure of Co2CuC. Source: Alexandria, functional GGA-PBE.

## Properties
N(E_F)   1.43 states/eV per atom
Energy relative to the elements   150 kJ/mol of formula units
M_tot   0.52 μB/f.u.
Calculated volume   81.3 Å³/cell
VASP energy   -6.494 eV/atom

a = 6.022 Å, b = 6.022 Å, c = 4.813 Å
α = 51.27°, β = 51.27°, γ = 90.00°
Positions (direct):
C  0.500  0.500  0.000
C  0.250  0.750  0.500
Co  0.526  0.125  0.250
Co  0.224  0.625  0.250
Co  0.375  0.474  0.750
Co  0.875  0.776  0.750
Cu  0.000  0.000  0.000
Cu  0.750  0.250  0.500

No. 24
An optimized crystal structure of CoCuC2. Source: Alexandria, functional GGA-PBE.

## Properties
N(E_F)   0.73 states/eV per atom
E above lowest polymorph   550.2 meV/atom
Energy relative to the elements   630 kJ/mol of formula units
M_tot   0.00 μB/f.u.
Calculated volume   33.2 Å³/cell
VASP energy   -5.781 eV/atom

a = 3.607 Å, b = 3.607 Å, c = 3.607 Å
α = 60.00°, β = 60.00°, γ = 60.00°
Positions (direct):
C  0.250  0.250  0.250
C  0.750  0.750  0.750
Co  0.000  0.000  0.000
Cu  0.500  0.500  0.500

No. 25
An optimized crystal structure of CoCu3C. Source: Alexandria, functional GGA-PBE.

## Properties
N(E_F)   1.17 states/eV per atom
E above lowest polymorph   1629.6 meV/atom
Energy relative to the elements   1071 kJ/mol of formula units
M_tot   2.77 μB/f.u.
Calculated volume   81.9 Å³/cell
VASP energy   -3.503 eV/atom

a = 4.342 Å, b = 4.342 Å, c = 4.342 Å
α = 90.00°, β = 90.00°, γ = 90.00°
Positions (direct):
C  0.500  0.500  0.500
Co  0.000  0.000  0.000
Cu  0.000  0.500  0.000
Cu  0.000  0.000  0.500
Cu  0.500  0.000  0.000

No. 26
An optimized crystal structure of CoCu2C4. Source: Alexandria, functional GGA-PBE.

## Properties
N(E_F)   0.39 states/eV per atom
Energy relative to the elements   1359 kJ/mol of formula units
M_tot   0.00 μB/f.u.
Calculated volume   71.8 Å³/cell
VASP energy   -5.445 eV/atom

a = 3.785 Å, b = 3.785 Å, c = 5.683 Å
α = 70.55°, β = 70.55°, γ = 90.00°
Positions (direct):
C  0.807  0.807  0.385
C  0.193  0.193  0.615
C  0.000  0.500  0.000
C  0.500  0.000  0.000
Co  0.000  0.000  0.000
Cu  0.624  0.624  0.752
Cu  0.376  0.376  0.248

No. 27
An optimized crystal structure of Ho2CoCuC. Source: Alexandria, functional GGA-PBE.

## Properties
N(E_F)   0.50 states/eV per atom
Energy relative to the elements   -163 kJ/mol of formula units
M_tot   0.00 μB/f.u.
Calculated volume   86.8 Å³/cell
VASP energy   -6.254 eV/atom

a = 3.599 Å, b = 4.909 Å, c = 4.909 Å
α = 90.00°, β = 90.00°, γ = 90.00°
Positions (direct):
Ho  0.000  0.000  0.500
Ho  0.000  0.500  0.000
Co  0.500  0.000  0.000
Cu  0.500  0.500  0.500
C  0.000  0.000  0.000